Entry 1:
# PrHfSn

A relaxed PrHfSn crystal (PBE, OQMD via LeMat-Bulk).

Computed properties:
Calculated total energy = -18.729 eV/cell

Unit cell a=5.0318 b=5.0318 c=5.0318 alpha=60.00 beta=60.00 gamma=60.00
Element x y z (fractional)
Pr 0.7500 0.7500 0.7500
Sn 0.0000 0.0000 0.0000
Hf 0.2500 0.2500 0.2500


Entry 2:
# PrHfTh

A relaxed PrHfTh crystal (PBE, OQMD via LeMat-Bulk).

Computed properties:
Polymorph energy (0 for the lowest one) = 0 meV/atom
DFT formation energy = 0.748 eV per atom

Unit cell a=5.2301 b=5.2301 c=5.2301 alpha=60.00 beta=60.00 gamma=60.00
Element x y z (fractional)
Hf 0.0000 0.0000 0.0000
Pr 0.2500 0.2500 0.2500
Th 0.7500 0.7500 0.7500